[1]
## AgAsCl2 (GGA-PBE)

Data for a relaxed structure of AgAsCl2.

The structure in POSCAR format:
```
AgAsCl2
1.0
3.3219 0.0000 0.0000
0.0000 3.3219 0.0000
0.0000 0.0000 8.2817
As Ag Cl
1 1 2
direct
0.5000 0.5000 0.7135
0.0000 0.0000 0.5188
0.0000 0.0000 0.9267
0.5000 0.5000 0.3410
```

## Properties
Space group: No. 99
Total energy (Ry per atom): -0.2034
ΔE_f (raw) (kJ/mol of atoms): 3


[2]
## Cs2Sm2IrO6 (GGA-PBE)

Data for a relaxed structure of Cs2Sm2IrO6.

The structure in POSCAR format:
```
Cs2Sm2IrO6
1.0
-4.2429 1.9248 3.7212
3.4821 -4.5579 1.6293
4.7540 5.2577 1.2622
Cs Sm Ir O
2 2 1 6
direct
0.8353 0.1647 0.0000
0.1647 0.8353 0.0000
0.3349 0.6651 0.5000
0.6651 0.3349 0.5000
0.0000 0.0000 0.5000
0.7500 0.7500 0.6586
0.0449 0.3490 0.6554
0.2500 0.2500 0.3414
0.3490 0.0449 0.6554
0.9551 0.6510 0.3446
0.6510 0.9551 0.3446
```

## Properties
Space group: No. 12
Total energy (Ry per atom): -0.4800
ΔE_f (raw) (kJ/mol of atoms): -194


[3]
## Ir3Br5 (GGA-PBE)

Data for a relaxed structure of Ir3Br5.

The structure in POSCAR format:
```
Ir3Br5
1.0
4.0301 -6.4499 0.0000
4.0301 6.4499 0.0000
0.0000 0.0000 3.5654
Ir Br
3 5
direct
0.5000 0.5000 0.0000
0.6609 0.3391 0.5000
0.3391 0.6609 0.5000
0.0000 0.0000 0.0000
0.0000 0.5000 0.0000
0.5000 0.0000 0.0000
0.2873 0.2873 0.5000
0.7127 0.7127 0.5000
```

## Properties
Space group: No. 65
Total energy (Ry per atom): -0.2680
ΔE_f (raw) (kJ/mol of atoms): 70


[4]
## Pu4Se3S (GGA-PBE)

Data for a relaxed structure of Pu4Se3S.

The structure in POSCAR format:
```
Pu4Se3S
1.0
4.1054 0.0000 0.0000
0.0000 6.7300 -2.3065
0.0000 -0.0670 7.1139
S Se Pu
1 3 4
direct
0.5000 0.0000 0.0000
0.0000 0.0000 0.5000
0.5000 0.5000 0.5000
0.0000 0.5000 0.0000
0.0000 0.2394 0.2394
0.5000 0.7554 0.2446
0.0000 0.7606 0.7606
0.5000 0.2446 0.7554
```

## Properties
Space group: No. 65
Total energy (Ry per atom): -0.7764
ΔE_f (raw) (kJ/mol of atoms): -152


Number 1: ρ 4610 kg/m3. Number 2: ρ 6572 kg/m3. Number 3: ρ 8745 kg/m3. Number 4: ρ 10552 kg/m3.